1.
This record from the Alexandria database describes an optimized crystal structure of Be2CrPd2. The functional is PBE-GGA.

a b c (Å): 6.816 6.816 2.613
angles (deg): 90.00 90.00 90.00
Positions (direct):
1 Cr 0.000 0.000 0.000
2 Cr 0.500 0.500 0.000
3 Pd 0.359 0.859 0.000
4 Pd 0.859 0.641 0.000
5 Pd 0.641 0.141 0.000
6 Pd 0.141 0.359 0.000
7 Be 0.159 0.659 0.500
8 Be 0.659 0.841 0.500
9 Be 0.841 0.341 0.500
10 Be 0.341 0.159 0.500

Output
* formation enthalpy at 0 K: -0.01 eV per atom
* total DFT energy (no corrections): -5.502 eV per atom
* polymorph energy (0 for the lowest one): 0.154 eV/atom

***

2.
This record from the Alexandria database describes an optimized crystal structure of Be4ZnCr2. The functional is PBE-GGA.

a b c (Å): 3.919 3.919 6.598
angles (deg): 72.72 72.72 90.00
Positions (direct):
1 Cr 0.625 0.625 0.749
2 Cr 0.375 0.375 0.251
3 Zn 0.000 0.000 0.000
4 Be 0.818 0.818 0.363
5 Be 0.182 0.182 0.637
6 Be 0.000 0.500 0.000
7 Be 0.500 0.000 0.000

Output
* formation enthalpy at 0 K: 0.97 eV per atom
* total DFT energy (no corrections): -4.094 eV per atom

***

3.
This record from the Alexandria database describes an optimized crystal structure of BaFeRe2. The functional is PBE-GGA.

a b c (Å): 4.699 4.699 4.699
angles (deg): 60.00 60.00 60.00
Positions (direct):
1 Ba 0.500 0.500 0.500
2 Fe 0.750 0.750 0.750
3 Re 0.000 0.000 0.000
4 Re 0.250 0.250 0.250

Output
* formation enthalpy at 0 K: 1.36 eV per atom
* total DFT energy (no corrections): -7.456 eV per atom
* polymorph energy (0 for the lowest one): 0.820 eV/atom

***

4.
This record from the Alexandria database describes an optimized crystal structure of NdReTc. The functional is PBE-GGA.

a b c (Å): 5.646 5.646 8.695
angles (deg): 90.00 90.00 122.44
Positions (direct):
1 Nd 0.666 0.334 0.687
2 Nd 0.332 0.668 0.814
3 Nd 0.332 0.668 0.186
4 Nd 0.666 0.334 0.313
5 Re 0.999 0.001 0.751
6 Re 0.999 0.001 0.249
7 Re 0.173 0.340 0.500
8 Re 0.660 0.827 0.500
9 Tc 0.169 0.831 0.500
10 Tc 0.820 0.652 0.000
11 Tc 0.348 0.180 0.000
12 Tc 0.836 0.164 0.000

Output
* formation enthalpy at 0 K: 0.02 eV per atom
* total DFT energy (no corrections): -9.178 eV per atom